(1)
Computed, not measured: an optimized crystal structure of LiCaPrAg at the PBE level of DFT.

The total magnetic moment is 0.000 μB/f.u.

It has space group F-43m (No. 216), with a = 7.545 Å, b = 7.545 Å, c = 7.545 Å, α = 90.00°, β = 90.00° and γ = 90.00°. The inequivalent atoms are Li at (0.000, 0.000, 0.000), Ca at (0.250, 0.250, 0.750), Pr at (0.250, 0.250, 0.250) and Ag at (0.000, 0.000, 0.500).


(2)
Computed, not measured: an optimized crystal structure of Mg6InPb5 at the PBE level of DFT.

The total magnetic moment is 0.000 μB/f.u.

It has space group C2/m (No. 12), with a = 9.216 Å, b = 15.627 Å, c = 5.229 Å, α = 90.00°, β = 124.40° and γ = 90.00°. The inequivalent atoms are Mg at (0.236, 0.000, 0.237), Mg at (0.245, 0.164, 0.743), In at (0.000, 0.000, 0.500), Pb at (0.000, 0.170, 0.000), Pb at (0.000, 0.336, 0.500) and Pb at (0.000, 0.500, 0.000).


Values of ΔH_f (0 K), in order: -0.121 -0.053, all in eV/atom.